Here is a relaxed structure of UCu2Te6 from Alexandria via LeMat-Bulk. Energies are from PBE-GGA.

Results
ΔE_f (raw): -0.083 eV/atom
Space-group type: C2/c, No. 15
Fermi-level density of states: 0.870 states/eV/atom

abc: 8.7678 8.7678 7.6639
angles: 90.29 90.29 92.94
With the nearest neighbours (Å) after each atom.
Atoms (fractional coordinates):
U 0.0940 0.9060 0.7500  6 Te 2.95-3.08
U 0.9060 0.0940 0.2500  6 Te 2.95-3.08
Cu 0.2296 0.4155 0.7792  4 Te 2.57-2.64
Cu 0.4155 0.2296 0.2792  4 Te 2.57-2.64
Cu 0.5845 0.7704 0.7208  4 Te 2.57-2.64
Cu 0.7704 0.5845 0.2208  4 Te 2.57-2.64
Te 0.0052 0.5682 0.6727  1 Cu 2.57
Te 0.0421 0.2071 0.9209  1 Cu 2.64, 1 U 2.95
Te 0.2071 0.0421 0.4209  1 Cu 2.64, 1 U 2.95
Te 0.3588 0.4630 0.0856  2 Cu 2.60-2.62, 1 Te 2.85
Te 0.4318 0.9948 0.8273  1 Cu 2.57
Te 0.4630 0.3588 0.5856  2 Cu 2.60-2.62, 1 Te 2.85
Te 0.5370 0.6412 0.4144  2 Cu 2.60-2.62, 1 Te 2.85
Te 0.5682 0.0052 0.1727  1 Cu 2.57
Te 0.6412 0.5370 0.9144  2 Cu 2.60-2.62, 1 Te 2.85
Te 0.7929 0.9579 0.5791  1 Cu 2.64, 1 U 2.95
Te 0.9579 0.7929 0.0791  1 Cu 2.64, 1 U 2.95
Te 0.9948 0.4318 0.3273  1 Cu 2.57

Here is a relaxed structure of Lu2PuRu from Alexandria via LeMat-Bulk. Energies are from PBE-GGA.

Results
Space-group type: Fm-3m, No. 225
ΔE to the lowest computed polymorph: 342 meV per atom
Energy of formation: 0.401 eV per formula unit
Fermi-level density of states: 2.888 states/eV/atom

abc: 5.0023 5.0023 5.0023
angles: 60.00 60.00 60.00
With the nearest neighbours (Å) after each atom.
Atoms (fractional coordinates):
Lu 0.2500 0.2500 0.2500  4 Ru 3.06, 4 Pu 3.06
Lu 0.7500 0.7500 0.7500  4 Pu 3.06, 4 Ru 3.06
Pu 0.0000 0.0000 0.0000  8 Lu 3.06
Ru 0.5000 0.5000 0.5000  8 Lu 3.06

Here is a relaxed structure of CaCoOs2 from Alexandria via LeMat-Bulk. Energies are from PBE-GGA.

Results
Space-group type: Cmmm, No. 65
ΔE to the lowest computed polymorph: 383 meV per atom
Energy of formation: 2.934 eV per formula unit
Fermi-level density of states: 1.146 states/eV/atom

abc: 5.1449 5.1449 2.5876
angles: 90.00 90.00 115.00
With the nearest neighbours (Å) after each atom.
Atoms (fractional coordinates):
Ca 0.0000 0.0000 0.0000  2 Ca 2.59, 2 Co 2.76, 8 Os 2.88
Co 0.5000 0.5000 0.0000  2 Co 2.59, 2 Ca 2.76, 8 Os 2.88
Os 0.0000 0.5000 0.5000  4 Os 2.59-2.76, 4 Co 2.88, 4 Ca 2.88
Os 0.5000 0.0000 0.5000  4 Os 2.59-2.76, 4 Co 2.88, 4 Ca 2.88

Here is a relaxed structure of Mg2ZrF from Alexandria via LeMat-Bulk. Energies are from PBE-GGA.

Results
ΔE_f (raw): -0.722 eV/atom
Space-group type: I-42d, No. 122
ΔE to the lowest computed polymorph: 0 meV per atom
Fermi-level density of states: 0.704 states/eV/atom

abc: 6.1059 6.1059 6.1059
angles: 117.66 117.66 94.11
With the nearest neighbours (Å) after each atom.
Atoms (fractional coordinates):
Mg 0.3750 0.2256 0.3506  2 F 2.00
Mg 0.7744 0.1250 0.1494  2 F 2.00
Mg 0.8750 0.0244 0.6494  2 F 2.00
Mg 0.9756 0.6250 0.8506  2 F 2.00
Zr 0.2500 0.7500 0.5000  4 Mg 3.15
Zr 0.5000 0.5000 0.0000  4 Mg 3.15
F 0.0000 0.0000 0.0000  4 Mg 2.00
F 0.7500 0.2500 0.5000  4 Mg 2.00

Here is a relaxed structure of CrGaCoSi2 from Alexandria via LeMat-Bulk. Energies are from PBE-GGA.

Results
ΔE_f (raw): 0.403 eV/atom
Space-group type: P4/mmm, No. 123
ΔE to the lowest computed polymorph: 0 meV per atom
Fermi-level density of states: 0.561 states/eV/atom

abc: 4.3057 4.3057 4.5204
angles: 90.00 90.00 90.00
With the nearest neighbours (Å) after each atom.
Atoms (fractional coordinates):
Cr 0.0000 0.0000 0.0000  4 Ga 3.04, 8 Si 3.12
Ga 0.5000 0.5000 0.0000  2 Co 2.26
Co 0.5000 0.5000 0.5000  4 Si 2.15, 2 Ga 2.26
Si 0.0000 0.5000 0.5000  2 Co 2.15
Si 0.5000 0.0000 0.5000  2 Co 2.15

Here is a relaxed structure of Sr2Hg2Te from Alexandria via LeMat-Bulk. Energies are from PBE-GGA.

Results
ΔE_f (raw): -0.502 eV/atom
Space-group type: I4/mmm, No. 139
ΔE to the lowest computed polymorph: 290 meV per atom
Fermi-level density of states: 1.050 states/eV/atom

abc: 6.5419 6.5419 6.5419
angles: 123.95 123.95 83.28
With the nearest neighbours (Å) after each atom.
Atoms (fractional coordinates):
Sr 0.2500 0.7500 0.5000  4 Hg 3.24
Sr 0.7500 0.2500 0.5000  4 Hg 3.24
Hg 0.1440 0.1440 0.0000  1 Hg 2.82
Hg 0.8560 0.8560 0.0000  1 Hg 2.82
Te 0.5000 0.5000 0.0000  2 Hg 3.48

Here is a relaxed structure of Si2PAu from Alexandria via LeMat-Bulk. Energies are from PBE-GGA.

Results
ΔE_f (raw): 0.430 eV/atom
Space-group type: Immm, No. 71
Fermi-level density of states: 0.465 states/eV/atom

abc: 5.6389 5.6389 5.6389
angles: 145.68 137.77 55.50
With the nearest neighbours (Å) after each atom.
Atoms (fractional coordinates):
Si 0.1944 0.1944 0.0000  2 P 2.56, 2 Au 2.81, 4 Si 2.85
Si 0.8056 0.8056 0.0000  2 P 2.56, 2 Au 2.81, 4 Si 2.85
P 0.0000 0.5000 0.5000  4 Si 2.56, 4 Au 2.63
Au 0.5000 0.0000 0.5000  4 P 2.63, 4 Si 2.81

Here is a relaxed structure of Ca3Si from Alexandria via LeMat-Bulk. Energies are from PBE-GGA.

Results
ΔE_f (raw): -0.288 eV/atom
Space-group type: Pnma, No. 62
ΔE to the lowest computed polymorph: 0 meV per atom
Fermi-level density of states: 0.612 states/eV/atom

abc: 7.8245 9.7441 6.6615
angles: 90.00 90.00 90.00
With the nearest neighbours (Å) after each atom.
Atoms (fractional coordinates):
Ca 0.0336 0.2500 0.1158  2 Si 2.99-3.04
Ca 0.1764 0.0596 0.6739  3 Si 3.03-3.38
Ca 0.1764 0.4404 0.6739  3 Si 3.03-3.38
Ca 0.3236 0.5596 0.1739  3 Si 3.03-3.38
Ca 0.3236 0.9404 0.1739  3 Si 3.03-3.38
Ca 0.4664 0.7500 0.6158  2 Si 2.99-3.04
Ca 0.5336 0.2500 0.3842  2 Si 2.99-3.04
Ca 0.6764 0.0596 0.8261  3 Si 3.03-3.38
Ca 0.6764 0.4404 0.8261  3 Si 3.03-3.38
Ca 0.8236 0.5596 0.3261  3 Si 3.03-3.38
Ca 0.8236 0.9404 0.3261  3 Si 3.03-3.38
Ca 0.9664 0.7500 0.8842  2 Si 2.99-3.04
Si 0.1085 0.7500 0.4602  6 Ca 2.99-3.15
Si 0.3915 0.2500 0.9602  6 Ca 2.99-3.15
Si 0.6085 0.7500 0.0398  6 Ca 2.99-3.15
Si 0.8915 0.2500 0.5398  6 Ca 2.99-3.15

Question: Fermi-level density of states of number 4 (Mg2ZrF)?
Answer: 0.704 states/eV/atom